No. 1
## TlSe2 (GGA-PBE)

Data for an optimized crystal structure of TlSe2.

abc: 8.5585 8.5585 8.5585
angles: 90.00 90.00 90.00
Closest atoms and distances in Å follow each position.
Space group Fd-3m (No. 227, origin choice 2)
Symmetry-distinct sites (fractional):
Tl (0.1250, 0.1250, 0.1250) [8 per cell]  12 Se 3.55, 4 Tl 3.71
Se (0.0000, 0.0000, 0.5000) [16 per cell]  6 Se 3.03

- size of the total moment (μB per cell) = 0.00
- theoretical density (kg/m3) = 7677
- raw formation energy (eV per atom) = 0.10

***

No. 2
## TlSe2 (GGA-PBE)

Data for an optimized crystal structure of TlSe2.

abc: 3.5314 5.3339 10.2009
angles: 90.00 90.00 90.00
Closest atoms and distances in Å follow each position.
Space group Immm (No. 71)
Symmetry-distinct sites (fractional):
Tl (0.0000, 0.0000, 0.0000) [2 per cell]  8 Se 3.40, 2 Tl 3.53
Se (0.0000, 0.0000, 0.3872) [4 per cell]  1 Se 2.30

- size of the total moment (μB per cell) = 0.00
- theoretical density (kg/m3) = 6262
- raw formation energy (eV per atom) = -0.08

***

No. 3
## TlSe (GGA-PBE)

Data for an optimized crystal structure of TlSe.

abc: 3.5181 5.9271 10.5812
angles: 90.00 90.00 90.00
Closest atoms and distances in Å follow each position.
Space group Imma (No. 74)
Symmetry-distinct sites (fractional):
Tl (0.0000, 0.2500, 0.1051) [4 per cell]  6 Se 3.22-3.48, 4 Tl 3.52-3.54
Se (0.0000, 0.2500, 0.6497) [4 per cell]  2 Se 2.76

- size of the total moment (μB per cell) = 0.00
- theoretical density (kg/m3) = 8530
- raw formation energy (eV per atom) = -0.07

***

No. 4
## TlSe2 (GGA-PBE)

Data for an optimized crystal structure of TlSe2.

abc: 4.5507 7.6338 10.7878
angles: 90.00 98.79 90.00
Closest atoms and distances in Å follow each position.
Space group P2_1/c (No. 14)
Symmetry-distinct sites (fractional):
Tl (0.1018, 0.1277, 0.3688) [4 per cell]  5 Se 3.16-3.51
Se (0.2877, 0.5734, 0.4348) [4 per cell]  2 Se 2.37-2.48
Se (0.4737, 0.2101, 0.6728) [4 per cell]  1 Se 2.37

- size of the total moment (μB per cell) = 0.00
- theoretical density (kg/m3) = 6498
- raw formation energy (eV per atom) = -0.15

***

No. 5
## TlSe2 (GGA-PBE)

Data for an optimized crystal structure of TlSe2.

abc: 3.8951 3.8951 11.5949
angles: 90.00 90.00 90.00
Closest atoms and distances in Å follow each position.
Space group I4/mmm (No. 139)
Symmetry-distinct sites (fractional):
Tl (0.0000, 0.0000, 0.0000) [2 per cell]  2 Se 3.13
Se (0.0000, 0.0000, 0.2697) [4 per cell]  4 Se 2.79

- size of the total moment (μB per cell) = 0.00
- theoretical density (kg/m3) = 6840
- raw formation energy (eV per atom) = -0.04

***

No. 6
## Tl4Se5 (GGA-PBE)

Data for an optimized crystal structure of Tl4Se5.

abc: 12.1662 12.1662 4.6230
angles: 90.00 90.00 90.00
Closest atoms and distances in Å follow each position.
Space group I4/mmm (No. 139)
Symmetry-distinct sites (fractional):
Tl (0.0000, 0.2421, 0.0000) [8 per cell]  1 Se 2.95
Se (0.0000, 0.0000, 0.0000) [2 per cell]  4 Tl 2.95
Se (0.2194, 0.2194, 0.5000) [8 per cell]  2 Se 2.54

- size of the total moment (μB per cell) = 0.00
- theoretical density (kg/m3) = 5884
- raw formation energy (eV per atom) = -0.14